A geometry-optimized LaLu2 structure. Source: OQMD, functional PBE-GGA.

It has space group Fd-3m (No. 227, origin choice 2), with a = 14.783 Å, b = 14.783 Å, c = 14.783 Å, α = 90.00°, β = 90.00° and γ = 90.00°. Symmetry generates all atoms from La at (0.125, 0.125, 0.125) and Lu at (0.000, 0.000, 0.000).

Its distance to the lowest polymorph of the same formula is 2133 meV/atom. For the formation energy, the calculation gives 7.165 eV/f.u. For the magnetization, the calculation gives 5.00 μB/f.u.

A geometry-optimized Cd2ReSn structure. Source: OQMD, functional PBE-GGA.

It has space group F-43m (No. 216), with a = 6.779 Å, b = 6.779 Å, c = 6.779 Å, α = 90.00°, β = 90.00° and γ = 90.00°. Symmetry generates all atoms from Cd at (0.000, 0.000, 0.000), Cd at (0.250, 0.250, 0.250), Re at (0.250, 0.250, 0.750) and Sn at (0.000, 0.000, 0.500).

For the magnetization, the calculation gives 0.00 μB/f.u.

A geometry-optimized NdInNi4 structure. Source: OQMD, functional PBE-GGA.

It has space group F-43m (No. 216), with a = 7.137 Å, b = 7.137 Å, c = 7.137 Å, α = 90.00°, β = 90.00° and γ = 90.00°. Symmetry generates all atoms from Nd at (0.000, 0.000, 0.000), In at (0.250, 0.250, 0.250) and Ni at (0.124, 0.124, 0.624).

For the magnetization, the calculation gives 0.00 μB/f.u.

A geometry-optimized DyHfTlC structure. Source: OQMD, functional PBE-GGA.

It has space group P-6m2 (No. 187), with a = 3.4478 Å, b = 3.4478 Å, c = 15.6452 Å, α = 90.00°, β = 90.00° and γ = 120.00°. Symmetry generates all atoms from Dy at (0.0000, 0.0000, 0.1742), Hf at (0.6667, 0.3333, 0.3399), Tl at (0.0000, 0.0000, 0.5000), Tl at (0.6667, 0.3333, 0.0000) and C at (0.3333, 0.6667, 0.2708).

Its distance to the lowest polymorph of the same formula is 0 meV/atom. For the magnetization, the calculation gives 0.05 μB/f.u.

A geometry-optimized CdTcB2 structure. Source: OQMD, functional PBE-GGA.

It has space group F-43m (No. 216), with a = 5.881 Å, b = 5.881 Å, c = 5.881 Å, α = 90.00°, β = 90.00° and γ = 90.00°. Symmetry generates all atoms from Cd at (0.000, 0.000, 0.000), Tc at (0.250, 0.250, 0.750), B at (0.000, 0.000, 0.500) and B at (0.250, 0.250, 0.250).

For the magnetization, the calculation gives 0.00 μB/f.u.

A geometry-optimized Cs2TlReBr6 structure. Source: OQMD, functional PBE-GGA.

It has space group Fm-3m (No. 225), with a = 11.382 Å, b = 11.382 Å, c = 11.382 Å, α = 90.00°, β = 90.00° and γ = 90.00°. Symmetry generates all atoms from Cs at (0.250, 0.250, 0.250), Tl at (0.000, 0.000, 0.000), Re at (0.000, 0.000, 0.500) and Br at (0.000, 0.000, 0.276).

For the magnetization, the calculation gives 2.00 μB/f.u.

A geometry-optimized Li2Ge2IrPd structure. Source: OQMD, functional PBE-GGA.

It has space group P-6m2 (No. 187), with a = 4.3441 Å, b = 4.3441 Å, c = 5.3665 Å, α = 90.00°, β = 90.00° and γ = 120.00°. Symmetry generates all atoms from Li at (0.0000, 0.0000, 0.2485), Ge at (0.3333, 0.6667, 0.0000), Ge at (0.6667, 0.3333, 0.5000), Ir at (0.6667, 0.3333, 0.0000) and Pd at (0.3333, 0.6667, 0.5000).

For the magnetization, the calculation gives 0.01 μB/f.u.

A geometry-optimized ZrGeNO structure. Source: OQMD, functional PBE-GGA.

It has space group P4/nmm (No. 129, origin choice 2), with a = 4.138 Å, b = 4.138 Å, c = 6.720 Å, α = 90.00°, β = 90.00° and γ = 90.00°. Symmetry generates all atoms from Zr at (0.250, 0.750, 0.000), Ge at (0.250, 0.250, 0.398), N at (0.250, 0.250, 0.900) and O at (0.250, 0.750, 0.500).

Its distance to the lowest polymorph of the same formula is 416 meV/atom. For the magnetization, the calculation gives 0.01 μB/f.u.

A geometry-optimized Er2FeSi4Ni structure. Source: OQMD, functional PBE-GGA.

It has space group Amm2 (No. 38), with a = 3.933 Å, b = 3.980 Å, c = 16.457 Å, α = 90.00°, β = 90.00° and γ = 90.00°. Symmetry generates all atoms from Er at (0.000, 0.000, 0.000), Er at (0.500, 0.000, 0.215), Fe at (0.500, 0.000, 0.428), Si at (0.000, 0.000, 0.357), Si at (0.000, 0.000, 0.647), Si at (0.500, 0.000, 0.563), Si at (0.500, 0.000, 0.857) and Ni at (0.000, 0.000, 0.782).

For the magnetization, the calculation gives 0.03 μB/f.u.

A geometry-optimized K2Nd2IrO7 structure. Source: OQMD, functional PBE-GGA.

It has space group R-3c (No. 167, hexagonal axes), with a = 5.6763 Å, b = 5.6763 Å, c = 37.9345 Å, α = 90.00°, β = 90.00° and γ = 120.00°. Symmetry generates all atoms from K at (0.0000, 0.0000, 0.0869), Nd at (0.0000, 0.0000, 0.1907), Ir at (0.0000, 0.0000, 0.0000), O at (0.0000, 0.0000, 0.2500) and O at (0.0104, 0.4266, 0.1943).

For the magnetization, the calculation gives 3.00 μB/f.u.

A geometry-optimized OsICl4 structure. Source: OQMD, functional PBE-GGA.

It has space group P-1 (No. 2), with a = 6.481 Å, b = 7.030 Å, c = 9.366 Å, α = 109.30°, β = 90.38° and γ = 114.64°. Symmetry generates all atoms from Os at (0.097, 0.203, 0.204), I at (0.451, 0.585, 0.335), Cl at (0.065, 0.816, 0.584), Cl at (0.115, 0.633, 0.853), Cl at (0.223, 0.168, 0.956) and Cl at (0.289, 0.009, 0.241).

For the magnetization, the calculation gives 3.00 μB/f.u.

A geometry-optimized TbNd2Zn3Ir2Pt structure. Source: OQMD, functional PBE-GGA.

It has space group Amm2 (No. 38), with a = 3.975 Å, b = 12.565 Å, c = 7.297 Å, α = 90.00°, β = 90.00° and γ = 90.00°. Symmetry generates all atoms from Tb at (0.000, 0.000, 0.000), Nd at (0.000, 0.206, 0.386), Zn at (0.500, 0.000, 0.342), Zn at (0.500, 0.123, 0.719), Ir at (0.500, 0.161, 0.090) and Pt at (0.000, 0.000, 0.596).

For the formation energy, the calculation gives -6.520 eV/f.u. For the magnetization, the calculation gives 0.01 μB/f.u.

A geometry-optimized Al4W9 structure. Source: OQMD, functional PBE-GGA.

It has space group R-3m (No. 166, hexagonal axes), with a = 5.2662 Å, b = 5.2662 Å, c = 27.2027 Å, α = 90.00°, β = 90.00° and γ = 120.00°. Symmetry generates all atoms from Al at (0.0000, 0.0000, 0.0506), Al at (0.0000, 0.0000, 0.3334), W at (0.0000, 0.0000, 0.1543), W at (0.0000, 0.0000, 0.5000) and W at (0.0021, 0.5010, 0.9140).

Its distance to the lowest polymorph of the same formula is 0 meV/atom. For the magnetization, the calculation gives 0.02 μB/f.u.

A geometry-optimized RbTaPb structure. Source: OQMD, functional PBE-GGA.

It has space group F-43m (No. 216), with a = 7.579 Å, b = 7.579 Å, c = 7.579 Å, α = 90.00°, β = 90.00° and γ = 90.00°. Symmetry generates all atoms from Rb at (0.000, 0.000, 0.000), Ta at (0.250, 0.250, 0.250) and Pb at (0.250, 0.250, 0.750).

Its distance to the lowest polymorph of the same formula is 706 meV/atom. For the magnetization, the calculation gives 2.29 μB/f.u.

A geometry-optimized NaNdGeSe3 structure. Source: OQMD, functional PBE-GGA.

It has space group Cmcm (No. 63), with a = 4.507 Å, b = 13.494 Å, c = 11.506 Å, α = 90.00°, β = 90.00° and γ = 90.00°. Symmetry generates all atoms from Na at (0.000, 0.246, 0.250), Nd at (0.000, 0.500, 0.000), Ge at (0.000, 0.028, 0.750), Se at (0.000, 0.140, 0.563) and Se at (0.000, 0.418, 0.750).

For the magnetization, the calculation gives 0.00 μB/f.u.

A geometry-optimized Y2Ga4AgIr structure. Source: OQMD, functional PBE-GGA.

It has space group Amm2 (No. 38), with a = 6.707 Å, b = 4.387 Å, c = 10.314 Å, α = 90.00°, β = 90.00° and γ = 90.00°. Symmetry generates all atoms from Y at (0.000, 0.000, 0.000), Y at (0.500, 0.000, 0.166), Ga at (0.201, 0.000, 0.714), Ga at (0.308, 0.000, 0.455), Ag at (0.000, 0.000, 0.289) and Ir at (0.500, 0.000, 0.880).

For the magnetization, the calculation gives 0.02 μB/f.u.

A geometry-optimized SrSn2Hg structure. Source: OQMD, functional PBE-GGA.

It has space group F-43m (No. 216), with a = 7.764 Å, b = 7.764 Å, c = 7.764 Å, α = 90.00°, β = 90.00° and γ = 90.00°. Symmetry generates all atoms from Sr at (0.000, 0.000, 0.000), Sn at (0.000, 0.000, 0.500), Sn at (0.250, 0.250, 0.250) and Hg at (0.250, 0.250, 0.750).

A geometry-optimized SmErIr structure. Source: OQMD, functional PBE-GGA.

It has space group Pnma (No. 62), with a = 7.265 Å, b = 4.623 Å, c = 8.733 Å, α = 90.00°, β = 90.00° and γ = 90.00°. Symmetry generates all atoms from Sm at (0.011, 0.250, 0.168), Er at (0.140, 0.250, 0.578) and Ir at (0.249, 0.750, 0.407).

Its distance to the lowest polymorph of the same formula is 0 meV/atom. For the formation energy, the calculation gives -2.145 eV/f.u. For the magnetization, the calculation gives 0.01 μB/f.u.

A geometry-optimized LuCoAsW structure. Source: OQMD, functional PBE-GGA.

It has space group F-43m (No. 216), with a = 6.501 Å, b = 6.501 Å, c = 6.501 Å, α = 90.00°, β = 90.00° and γ = 90.00°. Symmetry generates all atoms from Lu at (0.000, 0.000, 0.000), Co at (0.000, 0.000, 0.500), As at (0.250, 0.250, 0.250) and W at (0.250, 0.250, 0.750).

Its distance to the lowest polymorph of the same formula is 177 meV/atom. For the magnetization, the calculation gives 3.08 μB/f.u.

A geometry-optimized MgUMo structure. Source: OQMD, functional PBE-GGA.

It has space group F-43m (No. 216), with a = 6.494 Å, b = 6.494 Å, c = 6.494 Å, α = 90.00°, β = 90.00° and γ = 90.00°. Symmetry generates all atoms from Mg at (0.000, 0.000, 0.000), U at (0.250, 0.250, 0.250) and Mo at (0.000, 0.000, 0.500).

Its distance to the lowest polymorph of the same formula is 631 meV/atom. For the magnetization, the calculation gives 0.68 μB/f.u.

A geometry-optimized BaTmAu structure. Source: OQMD, functional PBE-GGA.

It has space group F-43m (No. 216), with a = 7.252 Å, b = 7.252 Å, c = 7.252 Å, α = 90.00°, β = 90.00° and γ = 90.00°. Symmetry generates all atoms from Ba at (0.000, 0.000, 0.000), Tm at (0.250, 0.250, 0.750) and Au at (0.000, 0.000, 0.500).

Its distance to the lowest polymorph of the same formula is 0 meV/atom. For the magnetization, the calculation gives 0.01 μB/f.u.

A geometry-optimized ZrTa2As2 structure. Source: OQMD, functional PBE-GGA.

It has space group I4/mmm (No. 139), with a = 3.897 Å, b = 3.897 Å, c = 12.607 Å, α = 90.00°, β = 90.00° and γ = 90.00°. Symmetry generates all atoms from Zr at (0.000, 0.000, 0.000), Ta at (0.000, 0.500, 0.250) and As at (0.000, 0.000, 0.393).

For the magnetization, the calculation gives 0.00 μB/f.u.

A geometry-optimized ZnCd structure. Source: OQMD, functional PBE-GGA.

It has space group Pmmn (No. 59, origin choice 2), with a = 5.032 Å, b = 11.495 Å, c = 5.054 Å, α = 90.00°, β = 90.00° and γ = 90.00°. Symmetry generates all atoms from Zn at (0.250, 0.003, 0.150), Zn at (0.250, 0.130, 0.695), Cd at (0.250, 0.250, 0.200), Cd at (0.250, 0.609, 0.645) and Cd at (0.250, 0.750, 0.153).

For the formation energy, the calculation gives 0.131 eV/f.u.

A geometry-optimized Hf4TlCoC2 structure. Source: OQMD, functional PBE-GGA.

It has space group P-6m2 (No. 187), with a = 3.2898 Å, b = 3.2898 Å, c = 13.9586 Å, α = 90.00°, β = 90.00° and γ = 120.00°. Symmetry generates all atoms from Hf at (0.0000, 0.0000, 0.1352), Hf at (0.3333, 0.6667, 0.3189), Tl at (0.0000, 0.0000, 0.5000), Co at (0.3333, 0.6667, 0.0000) and C at (0.6667, 0.3333, 0.2351).

For the magnetization, the calculation gives 0.76 μB/f.u.

Record-wise raw total energy values, in eV per formula unit: -6.8; -15.4; -31.7; -28.1; -17.7; -35.5; -29.9; -29.8; -50.5; -80.0; -21.8; -48.2; -129.1; -9.8; -27.2; -41.7; -11.3; -20.3; -27.0; -19.2; -9.3; -42.8; -2.0; -71.9